No. 1
Compound: K2LiPaO4
Source: Alexandria via LeMat-Bulk
Functional: PBE
Structure: optimized geometry

Its total energy is -0.2459 Ha/atom. The calculation puts the formation energy from raw total energies at -2511.0 meV per atom. As for the density of states at the Fermi level: 0.0 states/eV per cell. The crystal system is monoclinic.

It has space group P2/m (No. 10), with a = 5.6333 Å, b = 3.6244 Å, c = 6.4653 Å, α = 90.00°, β = 105.46° and γ = 90.00°. The distinct sites, in fractional coordinates, are K at (0.0000, 0.0000, 0.0000), K at (0.5000, 0.5000, 0.0000), Li at (0.0000, 0.5000, 0.5000), Pa at (0.5000, 0.0000, 0.5000), O at (0.2740, 0.0000, 0.7019) and O at (0.2802, 0.5000, 0.3241).

No. 2
Compound: Na2CdAs
Source: Alexandria via LeMat-Bulk
Functional: PBE
Structure: optimized geometry

Its total energy is -0.0757 Ha/atom. As for the density of states at the Fermi level: 7.4 states/eV per cell. The crystal system is tetragonal.

It has space group I-42d (No. 122), with a = 4.4219 Å, b = 4.4219 Å, c = 20.6137 Å, α = 90.00°, β = 90.00° and γ = 90.00°. The distinct sites, in fractional coordinates, are Na at (0.2273, 0.2500, 0.1250), Cd at (0.0000, 0.0000, 0.5000) and As at (0.0000, 0.0000, 0.0000).

No. 3
Compound: Pm6Ho3In
Source: Alexandria via LeMat-Bulk
Functional: PBE
Structure: optimized geometry

Its total energy is -0.1657 Ha/atom. As for the density of states at the Fermi level: 27.0 states/eV per cell. The crystal system is monoclinic.

It has space group P2_1/m (No. 11), with a = 12.9204 Å, b = 3.5351 Å, c = 14.4252 Å, α = 90.00°, β = 100.54° and γ = 90.00°. The distinct sites, in fractional coordinates, are Pm at (0.0098, 0.2500, 0.3089), Pm at (0.1586, 0.2500, 0.8842), Pm at (0.2522, 0.7500, 0.3034), Pm at (0.2694, 0.7500, 0.7137), Pm at (0.3117, 0.7500, 0.0755), Pm at (0.3880, 0.2500, 0.5350), Ho at (0.0791, 0.2500, 0.0967), Ho at (0.1294, 0.7500, 0.5008), Ho at (0.4283, 0.2500, 0.8939) and In at (0.4683, 0.2500, 0.2722).

> Which formula does entry 1 have?

K2LiPaO4